Record 1
VASP calculation (PBE-GGA) on a relaxed structure of RbTcOs.

Computed properties:
E_form	2.76	eV/f.u.
calculated volume	27.5	A^3/atom
offset from the most stable computed form	0.083	eV/atom

The structure in CIF format:
```
data_RbTcOs
_symmetry_space_group_name_H-M 'C 1 m 1'
_symmetry_Int_Tables_number 8
_symmetry_space_group_name_Hall 'C -2y'
_cell_length_a 10.977
_cell_length_b 4.183
_cell_length_c 8.722
_cell_angle_alpha 90.00
_cell_angle_beta 124.63
_cell_angle_gamma 90.00
loop_
_atom_site_label
_atom_site_fract_x
_atom_site_fract_y
_atom_site_fract_z
Rb1 0.000 0.000 0.000
Rb2 0.154 0.000 0.739
Tc1 0.207 0.500 0.413
Tc2 0.322 0.500 0.236
Os1 0.337 0.000 0.507
Os2 0.453 0.000 0.331
```

=====

Record 2
VASP calculation (PBE-GGA) on a relaxed structure of Cr2AgAu.

Computed properties:
E_form	3.45	eV/f.u.
calculated volume	15.0	A^3/atom
offset from the most stable computed form	0.683	eV/atom

The structure in CIF format:
```
data_Cr2AgAu
_symmetry_space_group_name_H-M 'F m -3 m'
_symmetry_Int_Tables_number 225
_symmetry_space_group_name_Hall '-F 4 2 3'
_cell_length_a 6.221
_cell_length_b 6.221
_cell_length_c 6.221
_cell_angle_alpha 90.00
_cell_angle_beta 90.00
_cell_angle_gamma 90.00
loop_
_atom_site_label
_atom_site_fract_x
_atom_site_fract_y
_atom_site_fract_z
Cr1 0.250 0.250 0.250
Ag1 0.000 0.000 0.000
Au1 0.000 0.000 0.500
```

=====

Record 3
VASP calculation (PBE-GGA) on a relaxed structure of Ti2S2Cl.

Computed properties:
calculated volume	18.1	A^3/atom
uncorrected formation energy	-1.437	eV per atom

The structure in CIF format:
```
data_Ti2S2Cl
_symmetry_space_group_name_H-M 'C 1 2/m 1'
_symmetry_Int_Tables_number 12
_symmetry_space_group_name_Hall '-C 2y'
_cell_length_a 11.424
_cell_length_b 4.784
_cell_length_c 7.079
_cell_angle_alpha 90.00
_cell_angle_beta 110.41
_cell_angle_gamma 90.00
loop_
_atom_site_label
_atom_site_fract_x
_atom_site_fract_y
_atom_site_fract_z
Ti1 0.003 0.000 0.210
Ti2 0.144 0.500 0.072
S1 0.008 0.500 0.263
S2 0.182 0.000 0.094
Cl1 0.153 0.000 0.600
```

=====

Record 4
VASP calculation (PBE-GGA) on a relaxed structure of CaLaBIr2.

Computed properties:
E_form	10.77	eV/f.u.
calculated volume	25.3	A^3/atom

The structure in CIF format:
```
data_CaLaBIr2
_symmetry_space_group_name_H-M 'P 4/m m m'
_symmetry_Int_Tables_number 123
_symmetry_space_group_name_Hall '-P 4 2'
_cell_length_a 4.782
_cell_length_b 4.782
_cell_length_c 5.532
_cell_angle_alpha 90.00
_cell_angle_beta 90.00
_cell_angle_gamma 90.00
loop_
_atom_site_label
_atom_site_fract_x
_atom_site_fract_y
_atom_site_fract_z
Ca1 0.000 0.000 0.000
La1 0.000 0.000 0.500
B1 0.500 0.500 0.500
Ir1 0.000 0.500 0.000
```

=====

Record 5
VASP calculation (PBE-GGA) on a relaxed structure of LiNi2Pt.

Computed properties:
E_form	-0.53	eV/f.u.
calculated volume	12.5	A^3/atom

The structure in CIF format:
```
data_LiNi2Pt
_symmetry_space_group_name_H-M 'I m m 2'
_symmetry_Int_Tables_number 44
_symmetry_space_group_name_Hall 'I 2 -2'
_cell_length_a 2.755
_cell_length_b 4.283
_cell_length_c 8.465
_cell_angle_alpha 90.00
_cell_angle_beta 90.00
_cell_angle_gamma 90.00
loop_
_atom_site_label
_atom_site_fract_x
_atom_site_fract_y
_atom_site_fract_z
Li1 0.000 0.000 0.000
Ni1 0.000 0.000 0.482
Ni2 0.000 0.500 0.750
Pt1 0.000 0.500 0.237
```

=====

Record 6
VASP calculation (PBE-GGA) on a relaxed structure of LiPaTlAu.

Computed properties:
E_form	-0.41	eV/f.u.
calculated volume	22.5	A^3/atom

The structure in CIF format:
```
data_LiPaTlAu
_symmetry_space_group_name_H-M 'F -4 3 m'
_symmetry_Int_Tables_number 216
_symmetry_space_group_name_Hall 'F -4 2 3'
_cell_length_a 7.113
_cell_length_b 7.113
_cell_length_c 7.113
_cell_angle_alpha 90.00
_cell_angle_beta 90.00
_cell_angle_gamma 90.00
loop_
_atom_site_label
_atom_site_fract_x
_atom_site_fract_y
_atom_site_fract_z
Li1 0.000 0.000 0.000
Pa1 0.000 0.000 0.500
Tl1 0.250 0.250 0.750
Au1 0.250 0.250 0.250
```

=====

Record 7
VASP calculation (PBE-GGA) on a relaxed structure of LaMo2Os.

Computed properties:
E_form	1.68	eV/f.u.
calculated volume	20.4	A^3/atom
offset from the most stable computed form	0.065	eV/atom

The structure in CIF format:
```
data_LaMo2Os
_symmetry_space_group_name_H-M 'C 1 2/m 1'
_symmetry_Int_Tables_number 12
_symmetry_space_group_name_Hall '-C 2y'
_cell_length_a 10.199
_cell_length_b 3.153
_cell_length_c 5.226
_cell_angle_alpha 90.00
_cell_angle_beta 103.34
_cell_angle_gamma 90.00
loop_
_atom_site_label
_atom_site_fract_x
_atom_site_fract_y
_atom_site_fract_z
La1 0.000 0.000 0.000
Mo1 0.215 0.000 0.655
Os1 0.000 0.500 0.500
```

=====

Record 8
VASP calculation (PBE-GGA) on a relaxed structure of BeAuCl2.

Computed properties:
calculated volume	25.8	A^3/atom
offset from the most stable computed form	0.207	eV/atom
uncorrected formation energy	-0.428	eV per atom

The structure in CIF format:
```
data_BeAuCl2
_symmetry_space_group_name_H-M 'C 1 m 1'
_symmetry_Int_Tables_number 8
_symmetry_space_group_name_Hall 'C -2y'
_cell_length_a 10.835
_cell_length_b 2.976
_cell_length_c 7.209
_cell_angle_alpha 90.00
_cell_angle_beta 117.56
_cell_angle_gamma 90.00
loop_
_atom_site_label
_atom_site_fract_x
_atom_site_fract_y
_atom_site_fract_z
Be1 0.000 0.000 0.000
Au1 0.222 0.500 0.170
Cl1 0.436 0.000 0.770
Cl2 0.468 0.000 0.210
```

=====

- Number 1 is which compound?
  RbTcOs

=====

- What is the calculated volume in the sixth record?
  22.5 A^3/atom

=====

- Number 6 is which compound?
  LiPaTlAu

=====

- Which formula does entry 7 have?
  LaMo2Os